(1)
A relaxed LaMg4Zn crystal. Source: Alexandria, functional PBE.

As for the crystal system: orthorhombic.

Cell lengths 4.442, 7.829, 8.423 Å; angles 90.00, 90.00, 90.00 degrees
Fractional coordinates of all 12 atoms:
La 0.000 0.616 0.750
La 0.000 0.384 0.250
Mg 0.000 0.000 0.500
Mg 0.000 0.000 0.000
Mg 0.500 0.949 0.750
Mg 0.500 0.051 0.250
Mg 0.500 0.694 0.060
Mg 0.500 0.306 0.940
Mg 0.500 0.694 0.440
Mg 0.500 0.306 0.560
Zn 0.000 0.215 0.750
Zn 0.000 0.785 0.250

=====

(2)
A relaxed LaMg2Zn crystal. Source: Alexandria, functional PBE.

As for the crystal system: orthorhombic.

Cell lengths 4.443, 4.579, 5.049 Å; angles 90.00, 90.00, 90.00 degrees
Fractional coordinates of all 4 atoms:
La 0.000 0.500 0.500
Mg 0.000 0.000 0.000
Mg 0.500 0.500 0.000
Zn 0.500 0.000 0.500

=====

(3)
A relaxed La6MgZn crystal. Source: Alexandria, functional PBE.

As for the crystal system: triclinic.

Cell lengths 9.570, 8.609, 6.434 Å; angles 48.08, 41.97, 56.34 degrees
Fractional coordinates of all 8 atoms:
La 0.049 0.433 0.755
La 0.762 0.950 0.721
La 0.567 0.238 0.146
La 0.238 0.050 0.279
La 0.951 0.567 0.245
La 0.433 0.762 0.854
Mg 0.500 0.500 0.500
Zn 0.000 0.000 0.000

=====

Sequential ρ output: 3.4, 4.1, 5.9 g/cm³
Sequential formation energy from the elements output: -141, -92, -21 meV per atom